4
Lattice="0.0000 3.8124 3.8124 3.8124 0.0000 3.8124 3.8124 3.8124 0.0000" Properties=species:S:1:pos:R:3 comment="YSiBi2 PBE optimized geometry" dft_energy_ev_per_cell=-19.35 e_form_raw_kcal_per_mol_atoms=1.73 relative_energy_mev_per_atom=106 magnetic_moment_mub_per_fu=0.000 mass_density_g_cm3=8.0 spacegroup=Fm-3m pbc="T T T"
Y 0.0000 0.0000 0.0000
Si 3.8124 3.8124 3.8124
Bi 1.9062 1.9062 1.9062
Bi 5.7187 5.7187 5.7187

5
Lattice="4.9405 0.0000 0.0000 0.0000 4.9405 0.0000 0.0000 0.0000 5.8398" Properties=species:S:1:pos:R:3 comment="LaCrTc2Br PBE optimized geometry" dft_energy_ev_per_cell=-28.57 e_form_raw_kcal_per_mol_atoms=38.68 magnetic_moment_mub_per_fu=8.569 mass_density_g_cm3=5.4 spacegroup=P4/mmm pbc="T T T"
La 0.0000 0.0000 0.0000
Cr 2.4703 2.4703 2.9199
Tc 0.0000 2.4703 0.0000
Tc 2.4703 0.0000 0.0000
Br 0.0000 0.0000 2.9199